(1)
NbOsRuSeS PBE relaxed; space group = No. 1; total DFT energy (no corrections) = -7.75 eV/atom; formation energy (no corrections) = -109 meV per atom; energy relative to the lowest polymorph listed for this composition = 94 meV per atom; crystal system = triclinic
1.0
3.522 0.000 0.000
-1.300 4.654 0.000
-0.486 -1.794 5.279
Nb Os Ru Se S
1 1 1 1 1
Cartesian
0.000 0.000 0.000
1.841 0.351 4.161
-0.100 2.420 3.456
0.535 2.595 0.812
0.091 -0.157 2.755

=====

(2)
NbOsRuSeS PBE relaxed; space group = No. 8; total DFT energy (no corrections) = -7.75 eV/atom; formation energy (no corrections) = -108 meV per atom; energy relative to the lowest polymorph listed for this composition = 96 meV per atom; crystal system = monoclinic
1.0
5.361 -1.562 0.000
5.361 1.562 0.000
-2.109 0.000 4.914
Nb Os Ru Se S
1 1 1 1 1
Cartesian
0.000 0.000 0.000
7.556 0.000 0.315
5.650 0.000 2.266
9.133 0.000 2.223
1.362 0.000 3.954